## PmAsPdO (GGA-PBE)

Data for crystalline PmAsPdO at its relaxed geometry.

Cell lengths 4.1942, 4.1942, 8.1632 Å; angles 90.00, 90.00, 90.00 degrees
Closest atoms and distances in Å follow each position.
Fractional positions:
Pm 0.2500 0.2500 0.1341  4 O 2.37
Pm 0.7500 0.7500 0.8659  4 O 2.37
As 0.2500 0.2500 0.6677  4 Pd 2.50
As 0.7500 0.7500 0.3323  4 Pd 2.50
Pd 0.2500 0.7500 0.5000  4 As 2.50
Pd 0.7500 0.2500 0.5000  4 As 2.50
O 0.2500 0.7500 0.0000  4 Pm 2.37
O 0.7500 0.2500 0.0000  4 Pm 2.37

Properties
The calculation puts the density of states at the Fermi level at 0.2033 states/eV/atom. The value obtained for the total energy is -0.4938 Ry/atom. For the formation energy without anion corrections, the calculation gives -1.831 eV per atom.



## PrAs2PdO8 (GGA-PBE)

Data for crystalline PrAs2PdO8 at its relaxed geometry.

Cell lengths 5.4949, 5.4949, 6.9848 Å; angles 90.00, 90.00, 120.00 degrees
Closest atoms and distances in Å follow each position.
Fractional positions:
Pr 0.0000 0.0000 0.0000  6 O 2.52
As 0.3333 0.6667 0.2276  4 O 1.70-1.73
As 0.6667 0.3333 0.7724  4 O 1.70-1.73
Pd 0.0000 0.0000 0.5000  6 O 2.10
O 0.1578 0.3156 0.2896  1 As 1.73
O 0.1578 0.8422 0.2896  1 As 1.73
O 0.3156 0.1578 0.7104  1 As 1.73
O 0.3333 0.6667 0.9843  1 As 1.70
O 0.6667 0.3333 0.0157  1 As 1.70
O 0.6844 0.8422 0.2896  1 As 1.73
O 0.8422 0.1578 0.7104  1 As 1.73
O 0.8422 0.6844 0.7104  1 As 1.73

Properties
The calculation puts the density of states at the Fermi level at 0.3111 states/eV/atom. The value obtained for the total energy is -0.4622 Ry/atom. For the formation energy without anion corrections, the calculation gives -1.377 eV per atom.



## PuAsPdO (GGA-PBE)

Data for crystalline PuAsPdO at its relaxed geometry.

Cell lengths 4.0711, 4.0711, 8.2846 Å; angles 90.00, 90.00, 90.00 degrees
Closest atoms and distances in Å follow each position.
Fractional positions:
Pu 0.2500 0.2500 0.1356  4 O 2.33
Pu 0.7500 0.7500 0.8644  4 O 2.33
As 0.2500 0.2500 0.6790  4 Pd 2.52
As 0.7500 0.7500 0.3210  4 Pd 2.52
Pd 0.2500 0.7500 0.5000  4 As 2.52
Pd 0.7500 0.2500 0.5000  4 As 2.52
O 0.2500 0.7500 0.0000  4 Pu 2.33
O 0.7500 0.2500 0.0000  4 Pu 2.33

Properties
The calculation puts the density of states at the Fermi level at 1.3694 states/eV/atom. The value obtained for the total energy is -0.6551 Ry/atom. For the formation energy without anion corrections, the calculation gives -1.630 eV per atom.



## PuAsPdO6 (GGA-PBE)

Data for crystalline PuAsPdO6 at its relaxed geometry.

Cell lengths 5.3483, 5.3483, 9.1558 Å; angles 90.00, 90.00, 120.00 degrees
Closest atoms and distances in Å follow each position.
Fractional positions:
Pu 0.3333 0.6667 0.2500  6 O 2.14
Pu 0.6667 0.3333 0.7500  6 O 2.14
As 0.3333 0.6667 0.7500  6 O 1.89
As 0.6667 0.3333 0.2500  6 O 1.89
Pd 0.0000 0.0000 0.0000  6 O 2.29
Pd 0.0000 0.0000 0.5000  6 O 2.29
O 0.0348 0.3766 0.6352  1 As 1.89
O 0.0348 0.6582 0.8648  1 As 1.89
O 0.3418 0.3766 0.8648  1 As 1.89
O 0.3418 0.9652 0.6352  1 As 1.89
O 0.3766 0.0348 0.1352  1 As 1.89
O 0.3766 0.3418 0.3648  1 As 1.89
O 0.6234 0.6582 0.6352  1 As 1.89
O 0.6234 0.9652 0.8648  1 As 1.89
O 0.6582 0.0348 0.3648  1 As 1.89
O 0.6582 0.6234 0.1352  1 As 1.89
O 0.9652 0.3418 0.1352  1 As 1.89
O 0.9652 0.6234 0.3648  1 As 1.89

Properties
The calculation puts the density of states at the Fermi level at 0.4775 states/eV/atom. The value obtained for the total energy is -0.5424 Ry/atom. For the formation energy without anion corrections, the calculation gives -1.389 eV per atom.



## Rb2AsPdO4 (GGA-PBE)

Data for crystalline Rb2AsPdO4 at its relaxed geometry.

Cell lengths 11.6072, 10.2922, 6.7641 Å; angles 83.01, 61.66, 35.34 degrees
Closest atoms and distances in Å follow each position.
Fractional positions:
Rb 0.0518 0.0518 0.6982  6 O 3.06-3.38
Rb 0.3018 0.3018 0.9482  6 O 3.06-3.38
Rb 0.6982 0.6982 0.0518  6 O 3.06-3.38
Rb 0.9482 0.9482 0.3018  6 O 3.06-3.38
As 0.3750 0.3750 0.3750  4 O 1.74
As 0.6250 0.6250 0.6250  4 O 1.74
Pd 0.1250 0.1250 0.1250  4 O 2.28
Pd 0.8750 0.8750 0.8750  4 O 2.28
O 0.0583 0.6059 0.5173  1 As 1.74
O 0.3185 0.5173 0.6059  1 As 1.74
O 0.3941 0.9417 0.6815  1 As 1.74
O 0.4827 0.6815 0.9417  1 As 1.74
O 0.5173 0.3185 0.0583  1 As 1.74
O 0.6059 0.0583 0.3185  1 As 1.74
O 0.6815 0.4827 0.3941  1 As 1.74
O 0.9417 0.3941 0.4827  1 As 1.74

Properties
The calculation puts the density of states at the Fermi level at 0.3121 states/eV/atom. The value obtained for the total energy is -0.3707 Ry/atom. For the formation energy without anion corrections, the calculation gives -1.092 eV per atom.



## RbAsPdO6 (GGA-PBE)

Data for crystalline RbAsPdO6 at its relaxed geometry.

Cell lengths 5.0967, 5.0967, 6.5016 Å; angles 90.00, 90.00, 120.00 degrees
Closest atoms and distances in Å follow each position.
Fractional positions:
Rb 0.0000 0.0000 0.0000  6 O 2.89
As 0.3333 0.6667 0.5000  6 O 1.87
Pd 0.6667 0.3333 0.5000  6 O 1.99
O 0.0190 0.3790 0.3378  1 As 1.87, 1 Pd 1.99
O 0.0190 0.6400 0.6622  1 As 1.87, 1 Pd 1.99
O 0.3600 0.3790 0.6622  1 As 1.87, 1 Pd 1.99
O 0.3600 0.9810 0.3378  1 As 1.87, 1 Pd 1.99
O 0.6210 0.6400 0.3378  1 As 1.87, 1 Pd 1.99
O 0.6210 0.9810 0.6622  1 As 1.87, 1 Pd 1.99

Properties
The calculation puts the density of states at the Fermi level at 0.1824 states/eV/atom. The value obtained for the total energy is -0.3891 Ry/atom. For the formation energy without anion corrections, the calculation gives -0.787 eV per atom.



## RbAs2PdO8 (GGA-PBE)

Data for crystalline RbAs2PdO8 at its relaxed geometry.

Cell lengths 9.2606, 9.2606, 9.2606 Å; angles 33.41, 33.41, 33.41 degrees
Closest atoms and distances in Å follow each position.
Fractional positions:
Rb 0.0000 0.0000 0.0000  6 O 3.21
As 0.2335 0.2335 0.2335  4 O 1.70-1.73
As 0.7665 0.7665 0.7665  4 O 1.70-1.73
Pd 0.5000 0.5000 0.5000  6 O 2.03
O 0.1323 0.5176 0.6977  1 As 1.73
O 0.2984 0.2984 0.2984  1 As 1.70
O 0.3023 0.4824 0.8677  1 As 1.73
O 0.4824 0.8677 0.3023  1 As 1.73
O 0.5176 0.6977 0.1323  1 As 1.73
O 0.6977 0.1323 0.5176  1 As 1.73
O 0.7016 0.7016 0.7016  1 As 1.70
O 0.8677 0.3023 0.4824  1 As 1.73

Properties
The calculation puts the density of states at the Fermi level at 0.9677 states/eV/atom. The value obtained for the total energy is -0.3968 Ry/atom. For the formation energy without anion corrections, the calculation gives -0.805 eV per atom.



## Rb2As2PdO6 (GGA-PBE)

Data for crystalline Rb2As2PdO6 at its relaxed geometry.

Cell lengths 6.9781, 6.9781, 6.9781 Å; angles 51.06, 51.06, 51.06 degrees
Closest atoms and distances in Å follow each position.
Fractional positions:
Rb 0.2192 0.2192 0.2192  9 O 3.09-3.16
Rb 0.7808 0.7808 0.7808  9 O 3.09-3.16
As 0.4288 0.4288 0.4288  3 O 1.73
As 0.5712 0.5712 0.5712  3 O 1.73
Pd 0.0000 0.0000 0.0000  6 O 2.25
O 0.2467 0.2467 0.7338  1 As 1.73
O 0.2467 0.7338 0.2467  1 As 1.73
O 0.2662 0.7533 0.7533  1 As 1.73
O 0.7338 0.2467 0.2467  1 As 1.73
O 0.7533 0.2662 0.7533  1 As 1.73
O 0.7533 0.7533 0.2662  1 As 1.73

Properties
The calculation puts the density of states at the Fermi level at 0.1776 states/eV/atom. The value obtained for the total energy is -0.3909 Ry/atom. For the formation energy without anion corrections, the calculation gives -1.121 eV per atom.



## RbAs2PdO (GGA-PBE)

Data for crystalline RbAs2PdO at its relaxed geometry.

Cell lengths 4.3857, 4.3857, 5.2077 Å; angles 90.00, 90.00, 90.00 degrees
Closest atoms and distances in Å follow each position.
Fractional positions:
Rb 0.0000 0.0000 0.0000  2 O 2.60
As 0.0000 0.5000 0.5000  2 O 2.19
As 0.5000 0.0000 0.5000  2 O 2.19
Pd 0.5000 0.5000 0.0000  4 Rb 3.10, 8 As 3.40
O 0.0000 0.0000 0.5000  4 As 2.19

Properties
The calculation puts the density of states at the Fermi level at 0.5013 states/eV/atom. The value obtained for the total energy is -0.2909 Ry/atom. For the formation energy without anion corrections, the calculation gives 0.126 eV per atom.



## SmAs2PdO8 (GGA-PBE)

Data for crystalline SmAs2PdO8 at its relaxed geometry.

Cell lengths 6.0319, 6.0319, 6.0319 Å; angles 106.22, 106.22, 116.20 degrees
Closest atoms and distances in Å follow each position.
Fractional positions:
Sm 0.0000 0.0000 0.0000  8 O 2.38-2.43
As 0.5000 0.5000 0.0000  4 O 1.73
As 0.7500 0.2500 0.5000  4 O 1.72
Pd 0.2500 0.7500 0.5000  8 O 2.36-2.42
O 0.3209 0.1411 0.8202  1 As 1.73
O 0.3209 0.5007 0.1798  1 As 1.73
O 0.3935 0.0711 0.3224  1 As 1.72
O 0.4993 0.6791 0.8202  1 As 1.73
O 0.7486 0.0711 0.6776  1 As 1.72
O 0.8589 0.6791 0.1798  1 As 1.73
O 0.9289 0.2514 0.3224  1 As 1.72
O 0.9289 0.6065 0.6776  1 As 1.72

Properties
The calculation puts the density of states at the Fermi level at 0.4037 states/eV/atom. The value obtained for the total energy is -0.4593 Ry/atom. For the formation energy without anion corrections, the calculation gives -1.343 eV per atom.



## SrAsPdO6 (GGA-PBE)

Data for crystalline SrAsPdO6 at its relaxed geometry.

Cell lengths 5.1209, 5.1209, 5.4552 Å; angles 90.00, 90.00, 120.00 degrees
Closest atoms and distances in Å follow each position.
Fractional positions:
Sr 0.0000 0.0000 0.0000  6 O 2.54
As 0.6667 0.3333 0.5000  6 O 1.86
Pd 0.3333 0.6667 0.5000  6 O 2.01
O 0.3856 0.0209 0.6964  1 As 1.86, 1 Pd 2.01
O 0.3856 0.3647 0.3036  1 As 1.86, 1 Pd 2.01
O 0.6353 0.0209 0.3036  1 As 1.86, 1 Pd 2.01
O 0.6353 0.6144 0.6964  1 As 1.86, 1 Pd 2.01
O 0.9791 0.3647 0.6964  1 As 1.86, 1 Pd 2.01
O 0.9791 0.6144 0.3036  1 As 1.86, 1 Pd 2.01

Properties
The calculation puts the density of states at the Fermi level at 0.6555 states/eV/atom. The value obtained for the total energy is -0.4335 Ry/atom. For the formation energy without anion corrections, the calculation gives -1.313 eV per atom.